1.
Below is a relaxed structure of KTlSb2, with properties calculated at the PBE-GGA level.

Cell: 11.7828 11.7828 11.7828 Å, 17.42 17.42 17.42°
Last column: nearest neighbours and their distance in Å.
Atoms (fractional coordinates):
Sb: 0.9983 0.9983 0.9983  3 Tl 3.51, 6 Sb 3.57, 3 K 3.61
Sb: 0.5017 0.5017 0.5017  3 Tl 3.51, 6 Sb 3.57, 3 K 3.61
K: 0.7500 0.7500 0.7500  6 K 3.57, 6 Sb 3.61
Tl: 0.2500 0.2500 0.2500  6 Sb 3.51, 6 Tl 3.57

Results
total moment: 0.00 μB per formula unit
E_tot: -11.47 eV for the cell shown
space group: R-3m, No. 166
ΔE_f (raw): 0.06 eV per atom
energy relative to the lowest polymorph listed for this composition: 0.268 eV per atom

2.
Below is a relaxed structure of RbSr2AcSe4, with properties calculated at the PBE-GGA level.

Cell: 4.5495 7.8163 7.9142 Å, 71.48 90.00 90.00°
Last column: nearest neighbours and their distance in Å.
Atoms (fractional coordinates):
Se: 0.5000 0.2479 0.7374  3 Sr 3.10-3.27, 2 Ac 3.20, 1 Rb 3.29
Se: 0.0000 0.7644 0.7258  3 Sr 3.11-3.26, 1 Ac 3.13, 2 Rb 3.36
Se: 0.0000 0.2357 0.2742  3 Sr 3.11-3.26, 1 Ac 3.13, 2 Rb 3.36
Se: 0.5000 0.7521 0.2626  3 Sr 3.10-3.27, 2 Ac 3.20, 1 Rb 3.29
Sr: 0.0000 0.0000 0.0000  6 Se 3.26-3.27
Sr: 0.5000 0.0000 0.5000  6 Se 3.10-3.11
Rb: 0.5000 0.5000 0.0000  6 Se 3.29-3.36
Ac: 0.0000 0.5000 0.5000  6 Se 3.13-3.20

Results
total moment: 0.00 μB per formula unit
E_tot: -37.33 eV for the cell shown
space group: P2/m, No. 10
ΔE_f (raw): -1.87 eV per atom

3.
Below is a relaxed structure of Tb3PrCd4, with properties calculated at the PBE-GGA level.

Cell: 5.3307 7.6625 10.6643 Å, 90.00 90.00 90.00°
Last column: nearest neighbours and their distance in Å.
Atoms (fractional coordinates):
Cd: 0.5000 0.2413 0.5000  6 Tb 3.24-3.32, 2 Pr 3.32
Cd: 0.0012 0.7587 0.7500  6 Tb 3.24-3.32, 2 Pr 3.32
Cd: 0.9988 0.7587 0.2500  6 Tb 3.24-3.32, 2 Pr 3.32
Cd: 0.5000 0.7587 0.0000  6 Tb 3.24-3.32, 2 Pr 3.32
Cd: 0.0012 0.2413 0.7500  6 Tb 3.24-3.32, 2 Pr 3.32
Cd: 0.5000 0.2413 0.0000  6 Tb 3.24-3.32, 2 Pr 3.32
Cd: 0.5000 0.7587 0.5000  6 Tb 3.24-3.32, 2 Pr 3.32
Cd: 0.9988 0.2413 0.2500  6 Tb 3.24-3.32, 2 Pr 3.32
Tb: 0.4991 0.0000 0.2500  8 Cd 3.24-3.25
Tb: 0.4991 0.5000 0.2500  8 Cd 3.32
Tb: 0.0000 0.0000 0.0000  8 Cd 3.24
Tb: 0.5009 0.0000 0.7500  8 Cd 3.24-3.25
Tb: 0.5009 0.5000 0.7500  8 Cd 3.32
Tb: 0.0000 0.0000 0.5000  8 Cd 3.24
Pr: 0.0000 0.5000 0.5000  8 Cd 3.32
Pr: 0.0000 0.5000 0.0000  8 Cd 3.32

Results
total moment: 1.08 μB per formula unit
E_tot: -49.70 eV for the cell shown
energy of formation from the pure elements: -2.52 eV/f.u.
space group: Pmma, No. 51

4.
Below is a relaxed structure of Ge3MoSe, with properties calculated at the PBE-GGA level.

Cell: 4.8580 4.8580 4.8580 Å, 90.00 90.00 90.00°
Last column: nearest neighbours and their distance in Å.
Atoms (fractional coordinates):
Mo: 0.5000 0.5000 0.5000  12 Ge 3.44
Se: 0.0000 0.0000 0.0000  6 Ge 2.43
Ge: 0.0000 0.0000 0.5000  2 Se 2.43
Ge: 0.0000 0.5000 0.0000  2 Se 2.43
Ge: 0.5000 0.0000 0.0000  2 Se 2.43

Results
total moment: 0.00 μB per formula unit
E_tot: -20.86 eV for the cell shown
space group: Pm-3m, No. 221
ΔE_f (raw): 1.46 eV per atom
energy relative to the lowest polymorph listed for this composition: 1.002 eV per atom

5.
Below is a relaxed structure of Zn3PdAu5, with properties calculated at the PBE-GGA level.

Cell: 5.7224 5.7224 10.6285 Å, 82.19 82.19 81.27°
Last column: nearest neighbours and their distance in Å.
Atoms (fractional coordinates):
Pd: 0.0447 0.0447 0.7292  4 Zn 2.53-2.83, 1 Au 2.76
Pd: 0.9553 0.9553 0.2708  4 Zn 2.53-2.83, 1 Au 2.76
Zn: 0.0000 0.0000 0.0000  4 Au 2.40-2.52, 2 Zn 2.67
Zn: 0.2409 0.2409 0.1251  5 Au 2.61-2.74, 1 Zn 2.67, 1 Pd 2.68
Zn: 0.2854 0.2854 0.5329  4 Au 2.54-2.75, 1 Zn 2.56, 1 Pd 2.68
Zn: 0.7146 0.7146 0.4671  4 Au 2.54-2.75, 1 Zn 2.56, 1 Pd 2.68
Zn: 0.0000 0.0000 0.5000  2 Pd 2.53, 2 Zn 2.56
Zn: 0.7591 0.7591 0.8749  5 Au 2.61-2.74, 1 Zn 2.67, 1 Pd 2.68
Au: 0.5203 0.5203 0.6759  2 Zn 2.54-2.75, 1 Au 2.72
Au: 0.5750 0.0066 0.6739  4 Zn 2.60-2.89, 2 Au 2.84-2.91, 1 Pd 2.87
Au: 0.3218 0.6782 0.0000  1 Zn 2.40, 1 Au 2.66
Au: 0.0066 0.5750 0.6739  4 Zn 2.60-2.89, 2 Au 2.84-2.91, 1 Pd 2.87
Au: 0.2763 0.2763 0.8760  2 Zn 2.52-2.61, 1 Au 2.72, 1 Pd 2.76
Au: 0.6782 0.3218 0.0000  1 Zn 2.40, 1 Au 2.66
Au: 0.7237 0.7237 0.1240  2 Zn 2.52-2.61, 1 Au 2.72, 1 Pd 2.76
Au: 0.4250 0.9934 0.3261  4 Zn 2.60-2.89, 2 Au 2.84-2.91, 1 Pd 2.87
Au: 0.9934 0.4250 0.3261  4 Zn 2.60-2.89, 2 Au 2.84-2.91, 1 Pd 2.87
Au: 0.4797 0.4797 0.3241  2 Zn 2.54-2.75, 1 Au 2.72

Results
total moment: 0.00 μB per formula unit
E_tot: -51.25 eV for the cell shown
energy of formation from the pure elements: -0.22 eV/f.u.
space group: C2/m, No. 12

6.
Below is a relaxed structure of La3Te, with properties calculated at the PBE-GGA level.

Cell: 4.9810 4.9810 4.9810 Å, 90.00 90.00 90.00°
Last column: nearest neighbours and their distance in Å.
Atoms (fractional coordinates):
Te: 0.0000 0.0000 0.0000  12 La 3.52
La: 0.0000 0.5000 0.5000  8 La 3.52, 4 Te 3.52
La: 0.5000 0.5000 0.0000  8 La 3.52, 4 Te 3.52
La: 0.5000 0.0000 0.5000  8 La 3.52, 4 Te 3.52

Results
total moment: 0.00 μB per formula unit
E_tot: -20.53 eV for the cell shown
space group: Pm-3m, No. 221
ΔE_f (raw): -0.65 eV per atom
energy relative to the lowest polymorph listed for this composition: 0.110 eV per atom

7.
Below is a relaxed structure of KRb2NaO2, with properties calculated at the PBE-GGA level.

Cell: 6.4634 6.1394 7.9215 Å, 112.80 114.08 90.00°
Last column: nearest neighbours and their distance in Å.
Atoms (fractional coordinates):
K: 0.0000 0.2500 0.0000  4 O 2.75, 2 K 3.07
K: 0.0000 0.7500 0.0000  4 O 2.75, 2 K 3.07
O: 0.3877 0.6029 0.2058  2 Na 2.47, 2 K 2.75
O: 0.6123 0.3971 0.7942  2 Na 2.47, 2 K 2.75
O: 0.1819 0.8971 0.7942  2 Na 2.47, 2 K 2.75
O: 0.8181 0.1029 0.2058  2 Na 2.47, 2 K 2.75
Rb: 0.4999 0.8117 0.6234  2 O 2.80-2.84
Rb: 0.1235 0.3117 0.6234  2 O 2.80-2.84
Rb: 0.8765 0.6883 0.3766  2 O 2.80-2.84
Rb: 0.5001 0.1883 0.3766  2 O 2.80-2.84
Na: 0.5000 0.2500 0.0000  4 O 2.47
Na: 0.5000 0.7500 0.0000  4 O 2.47

Results
total moment: 0.14 μB per formula unit
E_tot: -40.39 eV for the cell shown
space group: Ibam, No. 72
ΔE_f (raw): -0.99 eV per atom

8.
Below is a relaxed structure of KLiCd4, with properties calculated at the PBE-GGA level.

Cell: 6.0748 6.0748 6.0748 Å, 60.00 60.00 60.00°
Last column: nearest neighbours and their distance in Å.
Atoms (fractional coordinates):
Cd: 0.6261 0.6261 0.1218  6 Cd 3.01-3.06
Cd: 0.1218 0.6261 0.6261  6 Cd 3.01-3.06
Cd: 0.6261 0.6261 0.6261  6 Cd 3.01-3.06
Cd: 0.6261 0.1218 0.6261  6 Cd 3.01-3.06
K: 0.2500 0.2500 0.2500  12 Cd 3.56, 4 Li 3.72
Li: 0.0000 0.0000 0.0000  12 Cd 3.56, 4 K 3.72

Results
total moment: 0.00 μB per formula unit
E_tot: -7.13 eV for the cell shown
energy of formation from the pure elements: -0.46 eV/f.u.
space group: F-43m, No. 216

9.
Below is a relaxed structure of LaCeH, with properties calculated at the PBE-GGA level.

Cell: 3.5986 3.5986 6.0805 Å, 90.00 90.00 120.00°
Last column: nearest neighbours and their distance in Å.
Atoms (fractional coordinates):
Ce: 0.6667 0.3333 0.4267  3 H 2.50
La: 0.0000 0.0000 0.9183  3 H 2.62
H: 0.3333 0.6667 0.6550  3 Ce 2.50, 3 La 2.62

Results
total moment: 0.89 μB per formula unit
E_tot: -14.63 eV for the cell shown
space group: P3m1, No. 156
energy relative to the lowest polymorph listed for this composition: 0.107 eV per atom

10.
Below is a relaxed structure of CsTlVI6, with properties calculated at the PBE-GGA level.

Cell: 8.0830 8.0852 8.1926 Å, 90.04 89.98 59.93°
Last column: nearest neighbours and their distance in Å.
Atoms (fractional coordinates):
I: 0.6076 0.0539 0.3052  1 V 2.75
I: 0.3383 0.0548 0.6953  1 V 2.75
I: 0.6069 0.3387 0.6953  1 V 2.75
I: 0.0545 0.3384 0.3048  1 V 2.75
I: 0.3388 0.6066 0.3045  1 V 2.75
I: 0.0540 0.6077 0.6947  1 V 2.75
Cs: 0.0001 0.0000 0.0000  6 I 3.89
Tl: 0.6663 0.6666 0.5000  6 I 3.33
V: 0.3334 0.3334 0.5000  6 I 2.75

Results
total moment: 0.96 μB per formula unit
E_tot: -27.57 eV for the cell shown
space group: C2, No. 5
ΔE_f (raw): -0.66 eV per atom

11.
Below is a relaxed structure of BeOs2Br, with properties calculated at the PBE-GGA level.

Cell: 3.4357 2.8087 7.9363 Å, 78.65 90.00 90.00°
Last column: nearest neighbours and their distance in Å.
Atoms (fractional coordinates):
Br: 0.5000 0.9258 0.8088  2 Os 2.67, 2 Br 2.81
Be: 0.0000 0.6092 0.3788  5 Os 2.39-2.46
Os: 0.0000 0.7799 0.0711  1 Be 2.39, 4 Os 2.58, 2 Br 2.67
Os: 0.5000 0.1851 0.2414  4 Be 2.46, 4 Os 2.58

Results
total moment: 0.00 μB per formula unit
E_tot: -25.68 eV for the cell shown
space group: Pm, No. 6
ΔE_f (raw): 0.54 eV per atom
energy relative to the lowest polymorph listed for this composition: 0.000 eV per atom

12.
Below is a relaxed structure of BaH2O, with properties calculated at the PBE-GGA level.

Cell: 4.2202 4.2543 6.9209 Å, 88.29 87.76 83.21°
Last column: nearest neighbours and their distance in Å.
Atoms (fractional coordinates):
H: 0.9017 0.1216 0.9453  1 O 0.98
H: 0.6512 0.9256 0.1834  1 O 1.00
H: 0.9312 0.6745 0.1752  1 H 1.50
H: 0.4254 0.6277 0.5300  4 Ba 2.68-2.98, 1 H 2.86
Ba: 0.4129 0.6074 0.9169  6 H 2.62-2.92, 4 O 2.66-2.91
Ba: 0.9994 0.1827 0.4229  5 H 2.60-2.89, 3 O 2.68-2.85
O: 0.4964 0.1219 0.1683  1 H 1.00
O: 0.9752 0.1738 0.8132  1 H 0.98

Results
total moment: 0.00 μB per formula unit
E_tot: -37.47 eV for the cell shown
space group: P1, No. 1
energy relative to the lowest polymorph listed for this composition: 0.035 eV per atom